(1)
Computed, not measured: an optimized crystal structure of SmAlZn4Au2 at the GGA-PBE level of DFT.

Values from the calculation:
Total energy ... -66.9 eV for the cell shown
ΔE_f ... -272 meV per atom
Total magnetization ... 0.000 μB per atom

```
data_SmAlZn4Au2
_chemical_formula_sum 'Sm3 Al3 Zn12 Au6'
_cell_length_a 4.3930
_cell_length_b 4.3930
_cell_length_c 26.4932
_cell_angle_alpha 90.00
_cell_angle_beta 90.00
_cell_angle_gamma 120.00
_space_group_name_H-M_alt 'R -3 m'
_space_group_IT_number 166
_space_group_name_Hall '-R 3 2"'
loop_
_atom_site_label
_atom_site_fract_x
_atom_site_fract_y
_atom_site_fract_z
Sm1 0.0000 0.0000 0.0000
Al1 0.0000 0.0000 0.5000
Zn1 0.0000 0.0000 0.1265
Zn2 0.0000 0.0000 0.3966
Au1 0.0000 0.0000 0.2453
```

(2)
Computed, not measured: an optimized crystal structure of SmAl2ZnAu5 at the GGA-PBE level of DFT.

Values from the calculation:
Total energy ... -32.6 eV for the cell shown
ΔE_f ... -307 meV per atom
Total magnetization ... 0.000 μB per atom

```
data_SmAl2ZnAu5
_chemical_formula_sum 'Sm1 Al2 Zn1 Au5'
_cell_length_a 4.871
_cell_length_b 4.871
_cell_length_c 7.770
_cell_angle_alpha 90.00
_cell_angle_beta 90.00
_cell_angle_gamma 90.00
_space_group_name_H-M_alt 'P 4/m m m'
_space_group_IT_number 123
_space_group_name_Hall '-P 4 2'
loop_
_atom_site_label
_atom_site_fract_x
_atom_site_fract_y
_atom_site_fract_z
Sm1 0.000 0.000 0.000
Al1 0.500 0.500 0.339
Zn1 0.000 0.000 0.500
Au1 0.000 0.500 0.245
Au2 0.500 0.500 0.000
```

(3)
Computed, not measured: an optimized crystal structure of AlSnAu2 at the GGA-PBE level of DFT.

Values from the calculation:
Total energy ... -30.7 eV for the cell shown
ΔE_f ... -258 meV per atom
Total magnetization ... 0.000 μB per atom
Excess energy over the best structure of this formula in the dataset ... 0.0000 eV per atom

```
data_AlSnAu2
_chemical_formula_sum 'Al2 Sn2 Au4'
_cell_length_a 5.554
_cell_length_b 4.216
_cell_length_c 7.250
_cell_angle_alpha 90.00
_cell_angle_beta 109.51
_cell_angle_gamma 90.00
_space_group_name_H-M_alt 'P 1 21/m 1'
_space_group_IT_number 11
loop_
_space_group_symop_operation_xyz
'x,y,z'
'-x,-y,-z'
'-x,y+1/2,-z'
'x,-y+1/2,z'
loop_
_atom_site_label
_atom_site_fract_x
_atom_site_fract_y
_atom_site_fract_z
Al1 0.205 0.250 0.427
Sn1 0.216 0.250 0.928
Au1 0.289 0.750 0.669
Au2 0.326 0.750 0.250
```

(4)
Computed, not measured: an optimized crystal structure of AlSnAu at the GGA-PBE level of DFT.

Values from the calculation:
Total energy ... -21.0 eV for the cell shown
ΔE_f ... 168 meV per atom
Total magnetization ... 0.000 μB per atom

```
data_AlSnAu
_chemical_formula_sum 'Al2 Sn2 Au2'
_cell_length_a 5.0718
_cell_length_b 5.0718
_cell_length_c 5.7149
_cell_angle_alpha 90.00
_cell_angle_beta 90.00
_cell_angle_gamma 120.00
_space_group_name_H-M_alt 'P 63/m m c'
_space_group_IT_number 194
_space_group_name_Hall '-P 6c 2c'
loop_
_atom_site_label
_atom_site_fract_x
_atom_site_fract_y
_atom_site_fract_z
Al1 0.3333 0.6667 0.2500
Sn1 0.3333 0.6667 0.7500
Au1 0.0000 0.0000 0.0000
```

(5)
Computed, not measured: an optimized crystal structure of AlSnAu at the GGA-PBE level of DFT.

Values from the calculation:
Total energy ... -23.4 eV for the cell shown
ΔE_f ... -230 meV per atom
Total magnetization ... 0.000 μB per atom

```
data_AlSnAu
_chemical_formula_sum 'Al2 Sn2 Au2'
_cell_length_a 4.168
_cell_length_b 7.073
_cell_length_c 5.897
_cell_angle_alpha 90.00
_cell_angle_beta 134.46
_cell_angle_gamma 90.00
_space_group_name_H-M_alt 'P 1 2/c 1'
_space_group_IT_number 13
loop_
_space_group_symop_operation_xyz
'x,y,z'
'-x,-y,-z'
'-x,y,-z+1/2'
'x,-y,z+1/2'
loop_
_atom_site_label
_atom_site_fract_x
_atom_site_fract_y
_atom_site_fract_z
Al1 0.000 0.002 0.250
Sn1 0.500 0.365 0.250
Au1 0.500 0.226 0.750
```

(6)
Computed, not measured: an optimized crystal structure of Al2SnAu4 at the GGA-PBE level of DFT.

Values from the calculation:
Total energy ... -52.6 eV for the cell shown
ΔE_f ... -247 meV per atom
Total magnetization ... 0.000 μB per atom

```
data_Al2SnAu4
_chemical_formula_sum 'Al4 Sn2 Au8'
_cell_length_a 4.414
_cell_length_b 4.414
_cell_length_c 16.622
_cell_angle_alpha 82.58
_cell_angle_beta 89.96
_cell_angle_gamma 60.01
_space_group_name_H-M_alt 'P -1'
_space_group_IT_number 2
loop_
_space_group_symop_operation_xyz
'x,y,z'
'-x,-y,-z'
loop_
_atom_site_label
_atom_site_fract_x
_atom_site_fract_y
_atom_site_fract_z
Al1 0.150 0.201 0.448
Al2 0.316 0.868 0.947
Sn1 0.090 0.319 0.274
Au1 0.000 0.500 0.000
Au2 0.204 0.092 0.613
Au3 0.265 0.971 0.792
Au4 0.371 0.758 0.113
Au5 0.500 0.500 0.500
```

(7)
Computed, not measured: an optimized crystal structure of AlSnAu14 at the GGA-PBE level of DFT.

Values from the calculation:
Total energy ... -108.2 eV for the cell shown
ΔE_f ... -30 meV per atom
Total magnetization ... 0.000 μB per atom

```
data_AlSnAu14
_chemical_formula_sum 'Al2 Sn2 Au28'
_cell_length_a 9.290
_cell_length_b 6.184
_cell_length_c 10.206
_cell_angle_alpha 90.00
_cell_angle_beta 90.00
_cell_angle_gamma 90.00
_space_group_name_H-M_alt 'A m m 2'
_space_group_IT_number 38
loop_
_space_group_symop_operation_xyz
'x,y,z'
'-x,-y,z'
'-x,y,z'
'x,-y,z'
'x,y+1/2,z+1/2'
'-x,-y+1/2,z+1/2'
'-x,y+1/2,z+1/2'
'x,-y+1/2,z+1/2'
loop_
_atom_site_label
_atom_site_fract_x
_atom_site_fract_y
_atom_site_fract_z
Al1 0.000 0.000 0.000
Sn1 0.000 0.000 0.505
Au1 0.000 0.244 0.254
Au2 0.242 0.000 0.833
Au3 0.244 0.240 0.081
Au4 0.256 0.000 0.334
Au5 0.500 0.000 0.161
Au6 0.500 0.000 0.659
Au7 0.500 0.244 0.912
```

(8)
Computed, not measured: an optimized crystal structure of AlSnAu4 at the GGA-PBE level of DFT.

Values from the calculation:
Total energy ... -43.7 eV for the cell shown
ΔE_f ... -170 meV per atom
Total magnetization ... 0.000 μB per atom
Excess energy over the best structure of this formula in the dataset ... 0.0135 eV per atom

```
data_AlSnAu4
_chemical_formula_sum 'Al2 Sn2 Au8'
_cell_length_a 5.889
_cell_length_b 5.562
_cell_length_c 7.448
_cell_angle_alpha 90.00
_cell_angle_beta 104.58
_cell_angle_gamma 90.00
_space_group_name_H-M_alt 'P 1 21/m 1'
_space_group_IT_number 11
loop_
_space_group_symop_operation_xyz
'x,y,z'
'-x,-y,-z'
'-x,y+1/2,-z'
'x,-y+1/2,z'
loop_
_atom_site_label
_atom_site_fract_x
_atom_site_fract_y
_atom_site_fract_z
Al1 0.206 0.250 0.482
Sn1 0.380 0.750 0.122
Au1 0.107 0.002 0.758
Au2 0.268 0.250 0.118
Au3 0.363 0.750 0.514
```

(9)
Computed, not measured: an optimized crystal structure of AlSnAu2 at the GGA-PBE level of DFT.

Values from the calculation:
Total energy ... -15.1 eV for the cell shown
ΔE_f ... -190 meV per atom
Total magnetization ... 0.000 μB per atom
Excess energy over the best structure of this formula in the dataset ... 0.0680 eV per atom

```
data_AlSnAu2
_chemical_formula_sum 'Al1 Sn1 Au2'
_cell_length_a 3.152
_cell_length_b 3.152
_cell_length_c 7.905
_cell_angle_alpha 90.00
_cell_angle_beta 90.00
_cell_angle_gamma 90.00
_space_group_name_H-M_alt 'P 4/m m m'
_space_group_IT_number 123
_space_group_name_Hall '-P 4 2'
loop_
_atom_site_label
_atom_site_fract_x
_atom_site_fract_y
_atom_site_fract_z
Al1 0.000 0.000 0.000
Sn1 0.000 0.000 0.500
Au1 0.500 0.500 0.198
```

(10)
Computed, not measured: an optimized crystal structure of AlSn2Au6 at the GGA-PBE level of DFT.

Values from the calculation:
Total energy ... -64.2 eV for the cell shown
ΔE_f ... -76 meV per atom
Total magnetization ... 0.000 μB per atom

```
data_AlSn2Au6
_chemical_formula_sum 'Al2 Sn4 Au12'
_cell_length_a 15.304
_cell_length_b 7.024
_cell_length_c 3.554
_cell_angle_alpha 90.00
_cell_angle_beta 94.64
_cell_angle_gamma 90.00
_space_group_name_H-M_alt 'C 1 2/m 1'
_space_group_IT_number 12
loop_
_space_group_symop_operation_xyz
'x,y,z'
'-x,-y,-z'
'-x,y,-z'
'x,-y,z'
'x+1/2,y+1/2,z'
'-x+1/2,-y+1/2,-z'
'-x+1/2,y+1/2,-z'
'x+1/2,-y+1/2,z'
loop_
_atom_site_label
_atom_site_fract_x
_atom_site_fract_y
_atom_site_fract_z
Al1 0.000 0.000 0.000
Sn1 0.195 0.500 0.783
Au1 0.076 0.299 0.268
Au2 0.153 0.000 0.731
```

- Which formula does entry 6 have?
  Al2SnAu4

What did the eighth record say?
Computed, not measured: an optimized crystal structure of AlSnAu4 at the GGA-PBE level of DFT.

Values from the calculation:
Total energy ... -43.7 eV for the cell shown
ΔE_f ... -170 meV per atom
Total magnetization ... 0.000 μB per atom
Excess energy over the best structure of this formula in the dataset ... 0.0135 eV per atom

```
data_AlSnAu4
_chemical_formula_sum 'Al2 Sn2 Au8'
_cell_length_a 5.889
_cell_length_b 5.562
_cell_length_c 7.448
_cell_angle_alpha 90.00
_cell_angle_beta 104.58
_cell_angle_gamma 90.00
_space_group_name_H-M_alt 'P 1 21/m 1'
_space_group_IT_number 11
loop_
_space_group_symop_operation_xyz
'x,y,z'
'-x,-y,-z'
'-x,y+1/2,-z'
'x,-y+1/2,z'
loop_
_atom_site_label
_atom_site_fract_x
_atom_site_fract_y
_atom_site_fract_z
Al1 0.206 0.250 0.482
Sn1 0.380 0.750 0.122
Au1 0.107 0.002 0.758
Au2 0.268 0.250 0.118
Au3 0.363 0.750 0.514
```

- What is the formula in the seventh record?
  AlSnAu14

- Which value of total magnetization does entry 7 give?
  0.000 μB per atom